Record 1
Compound: PmTiSn
Source: Alexandria
Functional: PBE
Structure: relaxed

Summary:
* ΔE_f: -57 kJ/mol of formula units
* volume: 25.92 Å³/atom
* ΔE to the lowest computed polymorph: 0 meV/atom

Cell: 4.8091 4.8091 3.8822 Å, 90.00 90.00 120.00°
Space group P-6m2 (No. 187)
Unique sites:
Pm1 0.0000 0.0000 0.0000 (multiplicity 1)
Ti1 0.3333 0.6667 0.5000 (multiplicity 1)
Sn1 0.6667 0.3333 0.5000 (multiplicity 1)


Record 2
Compound: Pm3TiSn6
Source: Alexandria
Functional: PBE
Structure: relaxed

Summary:
* ΔE_f: -357 kJ/mol of formula units
* volume: 28.05 Å³/atom

Cell: 7.0609 9.4738 10.4751 Å, 90.00 126.80 90.00°
Space group P2_1/c (No. 14)
Unique sites:
Pm1 0.0000 0.0000 0.0000 (multiplicity 2)
Pm2 0.2843 0.0924 0.7300 (multiplicity 4)
Ti1 0.5000 0.0000 0.5000 (multiplicity 2)
Sn1 0.0488 0.1572 0.3115 (multiplicity 4)
Sn2 0.2463 0.7063 0.0401 (multiplicity 4)
Sn3 0.4798 0.2051 0.0894 (multiplicity 4)


Record 3
Compound: PmTiSn2
Source: Alexandria
Functional: PBE
Structure: relaxed

Summary:
* ΔE_f: -139 kJ/mol of formula units
* volume: 24.04 Å³/atom

Cell: 3.7617 3.7617 6.7942 Å, 90.00 90.00 90.00°
Space group P4/mmm (No. 123)
Unique sites:
Pm1 0.0000 0.0000 0.0000 (multiplicity 1)
Ti1 0.0000 0.0000 0.5000 (multiplicity 1)
Sn1 0.5000 0.5000 0.2885 (multiplicity 2)